A relaxed Pm2CrWO8 crystal, computed with PBE+U.

a = 5.021 Å, b = 5.011 Å, c = 6.601 Å
α = 90.31°, β = 89.33°, γ = 92.58°
Fractional positions:
Pm  0.474  0.468  0.746
Pm  0.526  0.532  0.254
Cr  0.000  0.000  0.500
W  0.000  0.000  0.000
O  0.157  0.816  0.235
O  0.725  0.720  0.978
O  0.808  0.160  0.231
O  0.843  0.184  0.765
O  0.275  0.280  0.022
O  0.192  0.840  0.769
O  0.737  0.735  0.522
O  0.263  0.265  0.478

Final energy   -92.356 eV/f.u.